1.
SrZr2ZnCr | PBE | relaxed

```
SrZr2ZnCr
1.0
5.1434 0.0000 0.0000
0.0000 5.1434 0.0000
0.0000 0.0000 4.4139
Sr Zr Zn Cr
1 2 1 1
direct
0.0000 0.0000 0.0000 Sr
0.0000 0.5000 0.0000 Zr
0.5000 0.0000 0.0000 Zr
0.5000 0.5000 0.5000 Zn
0.0000 0.0000 0.5000 Cr
```

Results
The total magnetic moment is 0.00 μB/cell. The symmetry is P4/mmm (123). As for the formation energy: 2.1066 eV/atom.

2.
Tb2ScPb | PBE | relaxed

```
Tb2ScPb
1.0
4.1539 0.0000 0.0000
0.0000 4.1539 0.0000
0.0000 0.0000 6.4847
Tb Sc Pb
2 1 1
direct
0.0000 0.0000 0.2435 Tb
0.0000 0.0000 0.7565 Tb
0.5000 0.5000 0.5000 Sc
0.5000 0.5000 0.0000 Pb
```

Results
The excess energy over the best structure of this formula in the dataset is 26 meV per atom. The total magnetic moment is 0.00 μB/cell. The symmetry is P4/mmm (123). As for the formation energy: -0.2450 eV/atom.

3.
SrIrRu2 | PBE | relaxed

```
SrIrRu2
1.0
2.8030 0.0000 0.0000
0.0000 3.8079 0.0000
0.0000 0.0000 6.9988
Sr Ir Ru
1 1 2
direct
0.0000 0.0000 0.0000 Sr
0.0000 0.0000 0.5000 Ir
0.5000 0.5000 0.3196 Ru
0.5000 0.5000 0.6804 Ru
```

Results
The excess energy over the best structure of this formula in the dataset is 72 meV per atom. The total magnetic moment is 0.00 μB/cell. The symmetry is Pmmm (47). As for the formation energy: 0.4692 eV/atom.

4.
CoCuPb3 | PBE | relaxed

```
CoCuPb3
1.0
5.0759 0.0000 0.0000
0.0000 5.0759 0.0000
0.0000 0.0000 5.0759
Co Cu Pb
1 1 3
direct
0.0000 0.0000 0.0000 Co
0.5000 0.5000 0.5000 Cu
0.0000 0.0000 0.5000 Pb
0.0000 0.5000 0.0000 Pb
0.5000 0.0000 0.0000 Pb
```

Results
The excess energy over the best structure of this formula in the dataset is 0 meV per atom. The total magnetic moment is 0.90 μB/cell. The symmetry is Pm-3m (221). As for the formation energy: 0.4751 eV/atom.

5.
Sm2Cd2SiPt4 | PBE | relaxed

```
Sm2Cd2SiPt4
1.0
-3.3710 3.3710 4.0681
3.3710 -3.3710 4.0681
3.3710 3.3710 -4.0681
Sm Cd Si Pt
2 2 1 4
direct
0.2500 0.7500 0.5000 Sm
0.7500 0.2500 0.5000 Sm
0.1799 0.1799 0.0000 Cd
0.8201 0.8201 0.0000 Cd
0.5000 0.5000 0.0000 Si
0.2540 0.2540 0.5080 Pt
0.2540 0.7460 0.0000 Pt
0.7460 0.2540 0.0000 Pt
0.7460 0.7460 0.4920 Pt
```

Results
The total magnetic moment is 0.00 μB/cell. For the electronic total energy, the calculation gives -5.23 eV per atom. The symmetry is I4/mmm (139).

6.
Ce4PrTh5 | PBE | relaxed

```
Ce4PrTh5
1.0
3.5098 0.0000 0.0000
0.0000 3.5098 0.0000
0.0000 0.0000 24.6606
Ce Pr Th
4 1 5
direct
0.0000 0.0000 0.0978 Ce
0.0000 0.0000 0.2929 Ce
0.0000 0.0000 0.7071 Ce
0.0000 0.0000 0.9022 Ce
0.0000 0.0000 0.5000 Pr
0.5000 0.5000 0.0000 Th
0.5000 0.5000 0.1955 Th
0.5000 0.5000 0.3912 Th
0.5000 0.5000 0.6088 Th
0.5000 0.5000 0.8045 Th
```

Results
The total magnetic moment is 0.00 μB/cell. The symmetry is P4/mmm (123). As for the formation energy: 0.0267 eV/atom.